VASP calculation (PBE) on a relaxed structure of CsHoAlTe3.

abc: 4.8442 16.5931 11.6108
angles: 90.00 90.00 90.00
Space group Cmcm (No. 63)
Symmetry-distinct sites (fractional):
Cs 0.0000 0.2465 0.2500 (multiplicity 4)
Ho 0.0000 0.5000 0.0000 (multiplicity 4)
Al 0.0000 0.0192 0.7500 (multiplicity 4)
Te 0.0000 0.1154 0.5613 (multiplicity 8)
Te 0.0000 0.4410 0.7500 (multiplicity 4)

Results
DFT total energy (eV per atom): -4.05
Magnetic moment (μB per formula unit): 0.01